[1]
Density functional theory data (GGA-PBE) for an optimized crystal structure of CdSiPd5.

Values from the calculation:
- crystal system = tetragonal
- magnetization (μB/f.u.) = 0.0
- uncorrected energy (eV/atom) = -5.083
- uncorrected formation energy (kJ per mole of atoms) = -45.18

abc: 4.0115 4.0115 6.9942
angles: 90.00 90.00 90.00
With the nearest neighbours (Å) after each atom.
Positions (direct):
Cd 0.0000 0.0000 0.5000  12 Pd 2.84-2.89
Si 0.5000 0.5000 0.0000  8 Pd 2.45
Pd 0.0000 0.5000 0.7979  2 Si 2.45
Pd 0.0000 0.5000 0.2021  2 Si 2.45
Pd 0.5000 0.0000 0.7979  2 Si 2.45
Pd 0.5000 0.0000 0.2021  2 Si 2.45
Pd 0.5000 0.5000 0.5000  4 Cd 2.84, 8 Pd 2.89



[2]
Density functional theory data (GGA-PBE) for an optimized crystal structure of Tb7Nd2Er3.

Values from the calculation:
- crystal system = monoclinic
- magnetization (μB/f.u.) = 0.0
- uncorrected energy (eV/atom) = -4.550
- formation energy from the elements (eV/f.u.) = 1.04
- energy above the most stable polymorph in this dataset (eV/atom) = 0.013

abc: 3.5919 5.7873 18.7603
angles: 93.72 90.00 90.00
With the nearest neighbours (Å) after each atom.
Positions (direct):
Tb 0.5000 0.7416 0.4627  1 Nd 3.14, 2 Tb 3.21-3.22
Tb 0.5000 0.2584 0.5373  1 Nd 3.14, 2 Tb 3.21-3.22
Tb 0.0000 0.6774 0.1418  2 Er 3.32, 7 Tb 3.35-3.59, 2 Nd 3.38
Tb 0.0000 0.0000 0.0000  4 Tb 3.35-3.59, 4 Er 3.41
Tb 0.0000 0.3226 0.8582  2 Er 3.32, 7 Tb 3.35-3.59, 2 Nd 3.38
Tb 0.5000 0.8202 0.8241  8 Tb 3.44-3.84, 2 Nd 3.65
Tb 0.5000 0.1798 0.1759  8 Tb 3.44-3.84, 2 Nd 3.65
Nd 0.5000 0.7045 0.2948  3 Tb 3.14-3.38
Nd 0.5000 0.2955 0.7052  3 Tb 3.14-3.38
Er 0.5000 0.5000 0.0000  8 Tb 3.32-3.41, 2 Er 3.59
Er 0.0000 0.2193 0.3700  2 Er 3.59, 6 Tb 3.61-3.83, 4 Nd 3.68-3.69
Er 0.0000 0.7807 0.6300  2 Er 3.59, 6 Tb 3.61-3.83, 4 Nd 3.68-3.69



[3]
Density functional theory data (GGA-PBE) for an optimized crystal structure of Nd2PaSi3Pt4.

Values from the calculation:
- crystal system = tetragonal
- magnetization (μB/f.u.) = 0.0
- uncorrected energy (eV/atom) = -6.927
- uncorrected formation energy (kJ per mole of atoms) = -94.65

abc: 4.2939 4.2939 10.8569
angles: 90.00 90.00 90.00
With the nearest neighbours (Å) after each atom.
Positions (direct):
Nd 0.5000 0.0000 0.2253  8 Pt 3.25-3.27, 4 Si 3.26
Nd 0.0000 0.5000 0.7747  8 Pt 3.25-3.27, 4 Si 3.26
Pa 0.5000 0.5000 0.5000  4 Pt 2.78, 4 Si 3.04
Si 0.0000 0.0000 0.5000  4 Pt 2.78, 4 Pa 3.04
Si 0.5000 0.0000 0.8831  5 Pt 2.40-2.49
Si 0.0000 0.5000 0.1169  5 Pt 2.40-2.49
Pt 0.5000 0.5000 0.0000  4 Si 2.49
Pt 0.0000 0.0000 0.0000  4 Si 2.49
Pt 0.5000 0.0000 0.6620  1 Si 2.40
Pt 0.0000 0.5000 0.3380  1 Si 2.40



[4]
Density functional theory data (GGA-PBE) for an optimized crystal structure of MgCdRh2.

Values from the calculation:
- crystal system = orthorhombic
- magnetization (μB/f.u.) = 0.0
- uncorrected energy (eV/atom) = -4.409
- formation energy from the elements (eV/f.u.) = -0.42

abc: 2.8520 2.8520 8.6877
angles: 90.00 90.00 112.82
With the nearest neighbours (Å) after each atom.
Positions (direct):
Cd 0.5000 0.5000 0.2500  4 Rh 2.76, 4 Cd 2.85
Mg 0.5000 0.5000 0.7500  4 Rh 2.61, 4 Mg 2.85
Rh 0.0000 0.0000 0.9892  2 Mg 2.61, 2 Cd 2.76, 4 Rh 2.85
Rh 0.0000 0.0000 0.5108  2 Mg 2.61, 2 Cd 2.76, 4 Rh 2.85



[5]
Density functional theory data (GGA-PBE) for an optimized crystal structure of Ca2PrNd.

Values from the calculation:
- crystal system = tetragonal
- magnetization (μB/f.u.) = 0.0
- uncorrected energy (eV/atom) = -3.278
- formation energy from the elements (eV/f.u.) = 0.44
- energy above the most stable polymorph in this dataset (eV/atom) = 0.076

abc: 4.2329 4.2329 8.4671
angles: 90.00 90.00 90.00
With the nearest neighbours (Å) after each atom.
Positions (direct):
Pr 0.5000 0.5000 0.0000  8 Ca 3.67
Ca 0.0000 0.0000 0.7485  4 Nd 3.66, 4 Pr 3.67
Ca 0.0000 0.0000 0.2515  4 Nd 3.66, 4 Pr 3.67
Nd 0.5000 0.5000 0.5000  8 Ca 3.66



[6]
Density functional theory data (GGA-PBE) for an optimized crystal structure of Y2CdRh.

Values from the calculation:
- crystal system = cubic
- magnetization (μB/f.u.) = 0.0
- uncorrected energy (eV/atom) = -5.603
- formation energy from the elements (eV/f.u.) = -1.22

abc: 4.9594 4.9594 4.9594
angles: 60.00 60.00 60.00
With the nearest neighbours (Å) after each atom.
Positions (direct):
Cd 0.5000 0.5000 0.5000  4 Rh 3.04, 4 Y 3.04
Rh 0.7500 0.7500 0.7500  4 Cd 3.04, 4 Y 3.04
Y 0.0000 0.0000 0.0000  4 Rh 3.04, 4 Y 3.04
Y 0.2500 0.2500 0.2500  4 Y 3.04, 4 Cd 3.04